Record 1
Material: Cs2Zn2Au
Method: DFT, PBE
State: relaxed

Unit cell a=7.1638 b=7.1638 c=7.7286 alpha=90.00 beta=90.00 gamma=90.00
With the nearest neighbours (Å) after each atom.
Space group I4/mmm (No. 139)
Unique sites:
Cs 0.0000 0.5000 0.2500 (multiplicity 4)  4 Zn 3.64, 2 Cs 3.86, 4 Au 4.07
Zn 0.0000 0.0000 0.1665 (multiplicity 4)  1 Zn 2.57, 1 Au 2.58
Au 0.0000 0.0000 0.5000 (multiplicity 2)  2 Zn 2.58

Computed properties:
Energy of formation in eV/atom: 0.02
Fermi-level density of states in states/eV/atom: 0.4936

Record 2
Material: LiLa2TlOs
Method: DFT, PBE
State: relaxed

Unit cell a=5.4414 b=5.4414 c=5.0566 alpha=90.00 beta=90.00 gamma=90.00
With the nearest neighbours (Å) after each atom.
Space group P4/mmm (No. 123)
Unique sites:
Li 0.0000 0.0000 0.0000 (multiplicity 1)  2 Os 2.53
La 0.0000 0.5000 0.5000 (multiplicity 2)  2 Os 2.72
Tl 0.5000 0.5000 0.0000 (multiplicity 1)  8 La 3.71, 4 Li 3.85
Os 0.0000 0.0000 0.5000 (multiplicity 1)  2 Li 2.53, 4 La 2.72

Computed properties:
Energy of formation in eV/atom: -0.01
Fermi-level density of states in states/eV/atom: 1.0688

Record 3
Material: LiPaMnSb
Method: DFT, PBE
State: relaxed

Unit cell a=6.5318 b=6.5318 c=6.5318 alpha=90.00 beta=90.00 gamma=90.00
With the nearest neighbours (Å) after each atom.
Space group F-43m (No. 216)
Unique sites:
Li 0.0000 0.0000 0.0000 (multiplicity 4)  4 Pa 2.83, 4 Sb 2.83
Pa 0.2500 0.2500 0.2500 (multiplicity 4)  4 Mn 2.83, 4 Li 2.83
Mn 0.0000 0.0000 0.5000 (multiplicity 4)  4 Sb 2.83, 4 Pa 2.83
Sb 0.2500 0.2500 0.7500 (multiplicity 4)  4 Li 2.83, 4 Mn 2.83

Computed properties:
Formation energy without anion corrections in meV/atom: -143
Fermi-level density of states in states/eV/atom: 0.2300

Record 4
Material: RbNa2AgGe
Method: DFT, PBE
State: relaxed

Unit cell a=5.7788 b=5.7788 c=4.9517 alpha=90.00 beta=90.00 gamma=90.00
With the nearest neighbours (Å) after each atom.
Space group P4/mmm (No. 123)
Unique sites:
Rb 0.0000 0.0000 0.0000 (multiplicity 1)  8 Na 3.81, 4 Ge 4.09
Na 0.0000 0.5000 0.5000 (multiplicity 2)  2 Ag 2.89
Ag 0.5000 0.5000 0.5000 (multiplicity 1)  2 Ge 2.48
Ge 0.5000 0.5000 0.0000 (multiplicity 1)  2 Ag 2.48

Computed properties:
Energy of formation in eV/atom: 0.05
Fermi-level density of states in states/eV/atom: 0.4598

Record 5
Material: AgBTe2
Method: DFT, PBE
State: relaxed

Unit cell a=3.6131 b=3.6131 c=24.6936 alpha=90.00 beta=90.00 gamma=120.00
With the nearest neighbours (Å) after each atom.
Space group R-3m (No. 166, hexagonal axes)
Unique sites:
Ag 0.0000 0.0000 0.0000 (multiplicity 3)  2 Te 2.71
B 0.0000 0.0000 0.5000 (multiplicity 3)  6 Te 2.52
Te 0.0000 0.0000 0.1096 (multiplicity 6)  3 B 2.52, 1 Ag 2.71

Computed properties:
Formation energy without anion corrections in meV/atom: 634
Fermi-level density of states in states/eV/atom: 0.4161

Record 6
Material: AcGaIr
Method: DFT, PBE
State: relaxed

Unit cell a=4.4028 b=4.4028 c=4.3510 alpha=90.00 beta=90.00 gamma=120.00
With the nearest neighbours (Å) after each atom.
Space group P-6m2 (No. 187)
Unique sites:
Ac 0.0000 0.0000 0.0000 (multiplicity 1)  6 Ir 3.35, 6 Ga 3.35
Ga 0.3333 0.6667 0.5000 (multiplicity 1)  3 Ir 2.54
Ir 0.6667 0.3333 0.5000 (multiplicity 1)  3 Ga 2.54

Computed properties:
Energy of formation in eV/atom: -0.68
Fermi-level density of states in states/eV/atom: 0.7226

Record 7
Material: TaMoC2Br
Method: DFT, PBE
State: relaxed

Unit cell a=4.0199 b=4.0199 c=5.3680 alpha=90.00 beta=90.00 gamma=90.00
With the nearest neighbours (Å) after each atom.
Space group P4/mmm (No. 123)
Unique sites:
Ta 0.0000 0.0000 0.0000 (multiplicity 1)  2 Mo 2.68, 4 Br 2.84
Mo 0.0000 0.0000 0.5000 (multiplicity 1)  4 C 2.01
C 0.0000 0.5000 0.5000 (multiplicity 2)  2 Mo 2.01
Br 0.5000 0.5000 0.0000 (multiplicity 1)  4 Ta 2.84

Computed properties:
Formation energy without anion corrections in meV/atom: 1632
Fermi-level density of states in states/eV/atom: 0.9143

Record 8
Material: Mg5Ga2
Method: DFT, PBE
State: relaxed

Unit cell a=14.7869 b=5.3441 c=7.7252 alpha=90.00 beta=100.82 gamma=90.00
With the nearest neighbours (Å) after each atom.
Space group C2/c (No. 15)
Unique sites:
Mg 0.0000 0.1531 0.2500 (multiplicity 4)  4 Ga 2.76-2.89
Mg 0.0945 0.3343 0.9303 (multiplicity 8)  4 Ga 2.78-3.05
Mg 0.2146 0.1263 0.3178 (multiplicity 8)  3 Ga 2.77-2.85
Ga 0.1064 0.1938 0.5835 (multiplicity 8)  9 Mg 2.76-3.05

Computed properties:
Energy of formation in eV/atom: -0.10
Fermi-level density of states in states/eV/atom: 0.2909

Record 9
Material: YIrRh
Method: DFT, PBE
State: relaxed

Unit cell a=3.1223 b=3.1223 c=6.5937 alpha=90.00 beta=90.00 gamma=120.00
With the nearest neighbours (Å) after each atom.
Space group P3m1 (No. 156)
Unique sites:
Y 0.0000 0.0000 0.0000 (multiplicity 1)  3 Rh 2.85, 3 Ir 2.86, 6 Y 3.12
Ir 0.6667 0.3333 0.3369 (multiplicity 1)  3 Rh 2.82, 3 Y 2.86, 6 Ir 3.12
Rh 0.3333 0.6667 0.6657 (multiplicity 1)  3 Ir 2.82, 3 Y 2.85, 6 Rh 3.12

Computed properties:
Energy of formation in eV/atom: 0.17
Fermi-level density of states in states/eV/atom: 1.6097

Record 10
Material: HfCo2Ir
Method: DFT, PBE
State: relaxed

Unit cell a=3.8301 b=3.8301 c=3.7447 alpha=90.00 beta=90.00 gamma=90.00
With the nearest neighbours (Å) after each atom.
Space group P4/mmm (No. 123)
Unique sites:
Hf 0.0000 0.0000 0.0000 (multiplicity 1)  8 Co 2.68, 4 Ir 2.71
Co 0.0000 0.5000 0.5000 (multiplicity 2)  4 Hf 2.68, 4 Ir 2.68, 4 Co 2.71
Ir 0.5000 0.5000 0.0000 (multiplicity 1)  8 Co 2.68, 4 Hf 2.71

Computed properties:
Energy of formation in eV/atom: -0.42
Fermi-level density of states in states/eV/atom: 1.5155

Record 11
Material: Li2TeO
Method: DFT, PBE
State: relaxed

Unit cell a=6.4212 b=6.4212 c=6.4212 alpha=90.00 beta=90.00 gamma=90.00
With the nearest neighbours (Å) after each atom.
Space group Fm-3m (No. 225)
Unique sites:
Li 0.2500 0.2500 0.2500 (multiplicity 8)  4 O 2.78, 4 Te 2.78
Te 0.0000 0.0000 0.0000 (multiplicity 4)  8 Li 2.78
O 0.0000 0.0000 0.5000 (multiplicity 4)  8 Li 2.78

Computed properties:
Formation energy without anion corrections in meV/atom: -447
Fermi-level density of states in states/eV/atom: 0.2719

Record 12
Material: SrCe2PO8
Method: DFT, PBE
State: relaxed

Unit cell a=5.1789 b=5.1789 c=6.8766 alpha=90.00 beta=90.00 gamma=120.00
With the nearest neighbours (Å) after each atom.
Space group P-3m1 (No. 164)
Unique sites:
Sr 0.0000 0.0000 0.0000 (multiplicity 1)  12 O 2.82-3.04
Ce 0.3333 0.6667 0.3572 (multiplicity 2)  1 O 1.92
P 0.0000 0.0000 0.5000 (multiplicity 1)  6 O 1.71
O 0.1552 0.3103 0.6434 (multiplicity 6)  1 P 1.71
O 0.3333 0.6667 0.0774 (multiplicity 2)  1 Ce 1.92

Computed properties:
Formation energy without anion corrections in meV/atom: -2603
Fermi-level density of states in states/eV/atom: 0.6564

Record 13
Material: B5Pb2BrO9
Method: DFT, PBE
State: relaxed

Unit cell a=11.6209 b=11.7040 c=6.6088 alpha=90.00 beta=90.00 gamma=90.00
With the nearest neighbours (Å) after each atom.
Space group Pnn2 (No. 34)
Unique sites:
B 0.0085 0.2475 0.0000 (multiplicity 4)  3 O 1.37-1.38
B 0.1811 0.2716 0.7762 (multiplicity 4)  4 O 1.47-1.50
B 0.2050 0.1829 0.1281 (multiplicity 4)  4 O 1.47-1.50
B 0.2137 0.7894 0.9441 (multiplicity 4)  4 O 1.45-1.52
B 0.2345 0.9598 0.1642 (multiplicity 4)  3 O 1.36-1.39
Pb 0.0410 0.7549 0.4782 (multiplicity 4)  5 O 2.52-2.80
Pb 0.2379 0.5281 0.1436 (multiplicity 4)  4 O 2.54-2.74
Br 0.0000 0.0000 0.6131 (multiplicity 2)  4 Pb 3.04-3.07
Br 0.0000 0.5000 0.3696 (multiplicity 2)  4 Pb 3.11-3.16
O 0.0542 0.2792 0.8160 (multiplicity 4)  2 B 1.38-1.50
O 0.0792 0.2097 0.1532 (multiplicity 4)  2 B 1.38-1.50
O 0.1068 0.7408 0.0406 (multiplicity 4)  2 B 1.37-1.51
O 0.1903 0.2390 0.5619 (multiplicity 4)  2 B 1.47-1.48
O 0.2119 0.9181 0.9730 (multiplicity 4)  2 B 1.38-1.52
O 0.2226 0.7700 0.7276 (multiplicity 4)  2 B 1.45-1.48
O 0.2288 0.0714 0.2214 (multiplicity 4)  2 B 1.36-1.47
O 0.2331 0.1830 0.9079 (multiplicity 4)  2 B 1.48-1.49
O 0.2351 0.3839 0.8173 (multiplicity 4)  2 B 1.39-1.48

Computed properties:
Formation energy without anion corrections in meV/atom: -2133
Fermi-level density of states in states/eV/atom: 0.0000

Record 14
Material: AcPmBi2O6
Method: DFT, PBE
State: relaxed

Unit cell a=6.2832 b=6.2832 c=15.4098 alpha=90.00 beta=90.00 gamma=120.00
With the nearest neighbours (Å) after each atom.
Space group R3 (No. 146, hexagonal axes)
Unique sites:
Ac 0.0000 0.0000 0.0000 (multiplicity 3)  6 O 2.47-2.60
Pm 0.0000 0.0000 0.5075 (multiplicity 3)  6 O 2.35-2.45
Bi 0.0000 0.0000 0.2224 (multiplicity 3)  6 O 2.32-2.51
Bi 0.0000 0.0000 0.7238 (multiplicity 3)  3 O 2.28
O 0.0150 0.2868 0.1241 (multiplicity 9)  2 Bi 2.32-2.57, 1 Pm 2.35, 1 Ac 2.60
O 0.0719 0.6778 0.2899 (multiplicity 9)  2 Bi 2.28-2.51, 1 Pm 2.45, 1 Ac 2.47

Computed properties:
Formation energy without anion corrections in meV/atom: -2276
Fermi-level density of states in states/eV/atom: 0.0000

Record 15
Material: Y2GeO5
Method: DFT, PBE
State: relaxed

Unit cell a=11.5309 b=5.2297 c=7.2726 alpha=90.00 beta=110.96 gamma=90.00
With the nearest neighbours (Å) after each atom.
Space group C2/c (No. 15)
Unique sites:
Y 0.1561 0.0442 0.3073 (multiplicity 8)  5 O 2.19-2.35
Ge 0.0000 0.5000 0.0000 (multiplicity 4)  6 O 1.85-2.03
O 0.0000 0.3556 0.2500 (multiplicity 4)  2 Ge 1.97
O 0.0980 0.2212 0.9949 (multiplicity 8)  1 Ge 1.85
O 0.1581 0.2915 0.6123 (multiplicity 8)  1 Ge 2.03, 2 Y 2.19-2.26

Computed properties:
Formation energy without anion corrections in meV/atom: -2796
Fermi-level density of states in states/eV/atom: 0.0000

Record 16
Material: Tm7Pt2Au2
Method: DFT, PBE
State: relaxed

Unit cell a=8.1258 b=10.5374 c=6.9890 alpha=90.00 beta=90.00 gamma=90.00
With the nearest neighbours (Å) after each atom.
Space group Cmmm (No. 65)
Unique sites:
Tm 0.0000 0.0000 0.0000 (multiplicity 2)  2 Pt 2.98
Tm 0.0000 0.5000 0.2522 (multiplicity 4)  2 Pt 2.89, 2 Au 2.91
Tm 0.2500 0.2500 0.2575 (multiplicity 8)  2 Pt 2.74
Pt 0.0000 0.2824 0.0000 (multiplicity 4)  7 Tm 2.74-2.98
Au 0.2125 0.0000 0.5000 (multiplicity 4)  6 Tm 2.91-3.15

Computed properties:
Energy of formation in eV/atom: -0.67
Fermi-level density of states in states/eV/atom: 0.8752

Record 17
Material: Cs2KIBr
Method: DFT, PBE
State: relaxed

Unit cell a=7.1692 b=7.1692 c=6.3158 alpha=90.00 beta=90.00 gamma=90.00
With the nearest neighbours (Å) after each atom.
Space group P4/mmm (No. 123)
Unique sites:
Cs 0.0000 0.5000 0.0000 (multiplicity 2)  2 Br 3.58
K 0.0000 0.0000 0.5000 (multiplicity 1)  2 Br 3.16
I 0.5000 0.5000 0.5000 (multiplicity 1)  8 Cs 4.78, 4 K 5.07
Br 0.0000 0.0000 0.0000 (multiplicity 1)  2 K 3.16

Computed properties:
Formation energy without anion corrections in meV/atom: -1114
Fermi-level density of states in states/eV/atom: 0.3442

Record 18
Material: Tl8InPb3
Method: DFT, PBE
State: relaxed

Unit cell a=8.4527 b=8.7074 c=11.8893 alpha=90.00 beta=90.00 gamma=90.00
With the nearest neighbours (Å) after each atom.
Space group I222 (No. 23)
Unique sites:
Tl 0.1335 0.1416 0.2537 (multiplicity 8)  3 Tl 3.33-3.34, 3 Pb 3.36-3.45, 1 In 3.37
Tl 0.2006 0.3052 0.0054 (multiplicity 8)  1 In 3.05, 1 Pb 3.15, 4 Tl 3.33-3.39
In 0.0000 0.0000 0.5000 (multiplicity 2)  8 Tl 3.05-3.37
Pb 0.0000 0.0000 0.0000 (multiplicity 2)  8 Tl 3.15-3.45
Pb 0.0000 0.5000 0.2116 (multiplicity 4)  8 Tl 3.36-3.52

Computed properties:
Energy of formation in eV/atom: 0.17
Fermi-level density of states in states/eV/atom: 0.4930

Record 19
Material: Ti3GeRh
Method: DFT, PBE
State: relaxed

Unit cell a=4.6237 b=4.6237 c=4.6237 alpha=90.00 beta=90.00 gamma=90.00
With the nearest neighbours (Å) after each atom.
Space group Pm-3m (No. 221)
Unique sites:
Ti 0.0000 0.0000 0.5000 (multiplicity 3)  2 Ge 2.31
Ge 0.0000 0.0000 0.0000 (multiplicity 1)  6 Ti 2.31
Rh 0.5000 0.5000 0.5000 (multiplicity 1)  12 Ti 3.27

Computed properties:
Energy of formation in eV/atom: 0.53
Fermi-level density of states in states/eV/atom: 2.0511

Record 20
Material: Hf3CoW
Method: DFT, PBE
State: relaxed

Unit cell a=4.9899 b=4.9899 c=4.9899 alpha=90.00 beta=90.00 gamma=90.00
With the nearest neighbours (Å) after each atom.
Space group Pm-3m (No. 221)
Unique sites:
Hf 0.0000 0.0000 0.5000 (multiplicity 3)  2 W 2.49
Co 0.5000 0.5000 0.5000 (multiplicity 1)  12 Hf 3.53
W 0.0000 0.0000 0.0000 (multiplicity 1)  6 Hf 2.49

Computed properties:
Energy of formation in eV/atom: 1.37
Fermi-level density of states in states/eV/atom: 1.9477

Record 21
Material: LaNdZnAg
Method: DFT, PBE
State: relaxed

Unit cell a=3.7951 b=3.7951 c=7.3521 alpha=90.00 beta=90.00 gamma=90.00
With the nearest neighbours (Å) after each atom.
Space group P4mm (No. 99)
Unique sites:
La 0.0000 0.0000 0.0000 (multiplicity 1)  4 Zn 3.25, 4 Ag 3.33, 1 Nd 3.55
Nd 0.0000 0.0000 0.5169 (multiplicity 1)  4 Zn 3.18, 4 Ag 3.25, 1 La 3.55
Zn 0.5000 0.5000 0.7498 (multiplicity 1)  4 Nd 3.18, 4 La 3.25, 1 Ag 3.54
Ag 0.5000 0.5000 0.2684 (multiplicity 1)  4 Nd 3.25, 4 La 3.33, 1 Zn 3.54

Computed properties:
Energy of formation in eV/atom: -0.29
Fermi-level density of states in states/eV/atom: 0.9485

Record 22
Material: Y2MnAl
Method: DFT, PBE
State: relaxed

Unit cell a=4.3870 b=4.3870 c=9.4641 alpha=90.00 beta=90.00 gamma=90.00
With the nearest neighbours (Å) after each atom.
Space group I-4m2 (No. 119)
Unique sites:
Y 0.0000 0.0000 0.0000 (multiplicity 2)  4 Mn 3.10, 4 Al 3.23, 4 Y 3.23
Y 0.0000 0.5000 0.2500 (multiplicity 2)  4 Al 3.10, 4 Mn 3.23, 4 Y 3.23
Mn 0.0000 0.0000 0.5000 (multiplicity 2)  8 Y 3.10-3.23, 4 Al 3.23
Al 0.0000 0.5000 0.7500 (multiplicity 2)  8 Y 3.10-3.23, 4 Mn 3.23

Computed properties:
Energy of formation in eV/atom: 0.02
Fermi-level density of states in states/eV/atom: 1.0032

Record 23
Material: Rb2Te4Ir
Method: DFT, PBE
State: relaxed

Unit cell a=5.3637 b=5.3637 c=18.6728 alpha=90.00 beta=90.00 gamma=90.00
With the nearest neighbours (Å) after each atom.
Space group I4/mmm (No. 139)
Unique sites:
Rb 0.0000 0.0000 0.1538 (multiplicity 4)  9 Te 3.77-3.93
Te 0.0000 0.0000 0.3558 (multiplicity 4)  1 Ir 2.69
Te 0.0000 0.5000 0.0000 (multiplicity 4)  2 Ir 2.68
Ir 0.0000 0.0000 0.5000 (multiplicity 2)  6 Te 2.68-2.69

Computed properties:
Formation energy without anion corrections in meV/atom: -218
Fermi-level density of states in states/eV/atom: 1.5416